Entry 1:
This record from the Alexandria database describes a geometry-optimized RbZnIn2Br structure. The functional is GGA-PBE.

* total magnetization: 0.000 μB/atom
* DOS(E_F): 3.7 states/eV/f.u.
* space-group type: P4/mmm (123)

Cell: 5.1556 5.1556 7.5424 Å, 90.00 90.00 90.00°
Closest atoms and distances in Å follow each position.
Sites, in units of the cell vectors:
Rb (0.0000, 0.0000, 0.0000)  4 Br 3.65, 2 Zn 3.77
Zn (0.0000, 0.0000, 0.5000)  4 In 2.58
In (0.0000, 0.5000, 0.5000)  2 Zn 2.58
In (0.5000, 0.0000, 0.5000)  2 Zn 2.58
Br (0.5000, 0.5000, 0.0000)  4 Rb 3.65

Entry 2:
This record from the Alexandria database describes a geometry-optimized Rb2ZrInBr6 structure. The functional is GGA-PBE.

* total magnetization: 0.100 μB/atom
* DOS(E_F): 5.2 states/eV/f.u.
* space-group type: R-3m (166)

Cell: 16.1712 16.1712 16.1712 Å, 28.22 28.22 28.22°
Closest atoms and distances in Å follow each position.
Sites, in units of the cell vectors:
Rb (0.1402, 0.1402, 0.1402)  9 Br 3.58-3.95
Rb (0.3094, 0.3094, 0.3094)  9 Br 3.57-3.97
Rb (0.6906, 0.6906, 0.6906)  9 Br 3.57-3.97
Rb (0.8598, 0.8598, 0.8598)  9 Br 3.58-3.95
Zr (0.0000, 0.0000, 0.0000)  6 Br 2.71
Zr (0.5000, 0.5000, 0.5000)  6 Br 2.75
In (0.4194, 0.4194, 0.4194)  6 Br 3.18-3.38
In (0.5806, 0.5806, 0.5806)  6 Br 3.18-3.38
Br (0.1334, 0.6339, 0.6339)  1 Zr 2.75
Br (0.1951, 0.1951, 0.7112)  1 Zr 2.71
Br (0.1951, 0.7112, 0.1951)  1 Zr 2.71
Br (0.2888, 0.8049, 0.8049)  1 Zr 2.71
Br (0.3661, 0.3661, 0.8666)  1 Zr 2.75
Br (0.3661, 0.8666, 0.3661)  1 Zr 2.75
Br (0.6339, 0.1334, 0.6339)  1 Zr 2.75
Br (0.6339, 0.6339, 0.1334)  1 Zr 2.75
Br (0.7112, 0.1951, 0.1951)  1 Zr 2.71
Br (0.8049, 0.2888, 0.8049)  1 Zr 2.71
Br (0.8049, 0.8049, 0.2888)  1 Zr 2.71
Br (0.8666, 0.3661, 0.3661)  1 Zr 2.75

Entry 3:
This record from the Alexandria database describes a geometry-optimized Rb2ZrInBr6 structure. The functional is GGA-PBE.

* total magnetization: 0.100 μB/atom
* DOS(E_F): 9.9 states/eV/f.u.
* space-group type: Fm-3m (225)

Cell: 8.2754 8.2754 8.2754 Å, 60.00 60.00 60.00°
Closest atoms and distances in Å follow each position.
Sites, in units of the cell vectors:
Rb (0.2500, 0.2500, 0.2500)  12 Br 4.14
Rb (0.7500, 0.7500, 0.7500)  12 Br 4.14
Zr (0.0000, 0.0000, 0.0000)  6 Br 2.71
In (0.5000, 0.5000, 0.5000)  6 Br 3.14
Br (0.2316, 0.2316, 0.7684)  1 Zr 2.71
Br (0.2316, 0.7684, 0.2316)  1 Zr 2.71
Br (0.2316, 0.7684, 0.7684)  1 Zr 2.71
Br (0.7684, 0.2316, 0.2316)  1 Zr 2.71
Br (0.7684, 0.2316, 0.7684)  1 Zr 2.71
Br (0.7684, 0.7684, 0.2316)  1 Zr 2.71

Entry 4:
This record from the Alexandria database describes a geometry-optimized InReBr4 structure. The functional is GGA-PBE.

* total magnetization: 0.686 μB/atom
* DOS(E_F): 3.7 states/eV/f.u.
* space-group type: F-43m (216)

Cell: 6.4674 6.4674 6.4674 Å, 60.00 60.00 60.00°
Closest atoms and distances in Å follow each position.
Sites, in units of the cell vectors:
In (0.0000, 0.0000, 0.0000)  12 Br 3.79, 4 Re 3.96
Re (0.7500, 0.7500, 0.7500)  12 Br 3.79, 4 In 3.96
Br (0.3754, 0.3754, 0.3754)  6 Br 3.22-3.24
Br (0.3754, 0.3754, 0.8739)  6 Br 3.22-3.24
Br (0.3754, 0.8739, 0.3754)  6 Br 3.22-3.24
Br (0.8739, 0.3754, 0.3754)  6 Br 3.22-3.24

Summary of raw formation energy in eV/f.u.
-1.3; -13.3; -13.1; 6.9
(order as listed above)